Record 1
29
Lattice="0.0000 7.9393 7.9393 7.9393 0.0000 7.9393 7.9393 7.9393 0.0000" Properties=species:S:1:pos:R:3 comment="Pm16Dy6Tm7, optimized geometry, DFT PBE" sg="Fm-3m, No. 225" delta_e_f_mev_per_atom=207 total_magnetization_mub_per_fu=0.00 pbc="T T T"
Pm 10.3108 5.5678 5.5678
Pm 1.9808 1.9808 1.9808
Pm 5.9585 5.9585 1.9808
Pm 5.9585 1.9808 5.9585
Pm 5.5678 5.5678 5.5678
Pm 10.3108 10.3108 5.5678
Pm 10.3108 5.5678 10.3108
Pm 13.8978 9.9200 9.9200
Pm 1.9808 5.9585 5.9585
Pm 5.5678 10.3108 5.5678
Pm 5.5678 5.5678 10.3108
Pm 10.3108 10.3108 10.3108
Pm 9.9200 13.8978 9.9200
Pm 9.9200 9.9200 13.8978
Pm 13.8978 13.8978 13.8978
Pm 5.5678 10.3108 10.3108
Dy 7.9393 7.9393 4.2427
Dy 7.9393 4.2427 7.9393
Dy 11.6358 7.9393 7.9393
Dy 4.2427 7.9393 7.9393
Dy 7.9393 11.6358 7.9393
Dy 7.9393 7.9393 11.6358
Tm 0.0000 0.0000 0.0000
Tm 3.9696 3.9696 0.0000
Tm 3.9696 0.0000 3.9696
Tm 7.9393 3.9696 3.9696
Tm 0.0000 3.9696 3.9696
Tm 3.9696 7.9393 3.9696
Tm 3.9696 3.9696 7.9393

=====

Record 2
5
Lattice="4.5612 0.0000 0.0000 0.0000 4.5612 0.0000 0.0000 0.0000 4.5612" Properties=species:S:1:pos:R:3 comment="KTa3F, optimized geometry, DFT PBE" e_form_raw_ev_per_atom=1.09 sg="Pm-3m, No. 221" de_polymorph_ev_per_fu=0.00 total_magnetization_mub_per_fu=0.00 pbc="T T T"
K 0.0000 0.0000 0.0000
Ta 0.0000 2.2806 2.2806
Ta 2.2806 0.0000 2.2806
Ta 2.2806 2.2806 0.0000
F 2.2806 2.2806 2.2806